An optimized crystal structure of ZrMn2AsPt, computed with GGA-PBE.

abc: 4.543 5.122 4.543
angles: 90.00 90.00 90.00
Each line ends with the local moment (μB).
Fractional positions:
As  0.500  0.500  0.500  -0.06
Mn  0.000  0.000  0.500  -0.75
Mn  0.500  0.000  0.000  -0.27
Zr  0.000  0.500  0.000  0.18
Pt  0.000  0.000  0.000  -0.06

energy of formation	1035	meV/atom
crystal system	tetragonal
size of the total moment	0.91	μB per cell
symmetry	P4/mmm
DOS at the Fermi energy	8.53	states/eV per cell
raw total energy	-6.480	eV/atom

***

An optimized crystal structure of Pu2MnAs, computed with GGA-PBE.

abc: 4.108 4.418 4.418
angles: 90.00 90.00 90.00
Each line ends with the local moment (μB).
Fractional positions:
As  0.500  0.500  0.500  -0.10
Mn  0.500  0.000  0.000  -3.16
Pu  0.000  0.000  0.500  5.45
Pu  0.000  0.500  0.000  5.45

energy of formation	-399	meV/atom
crystal system	tetragonal
size of the total moment	8.00	μB per cell
symmetry	P4/mmm
E above lowest polymorph	0.0180	eV/atom
DOS at the Fermi energy	7.04	states/eV per cell
raw total energy	-11.020	eV/atom

***

An optimized crystal structure of PuMnAs3, computed with GGA-PBE.

abc: 5.515 5.683 12.046
angles: 90.00 90.00 90.00
Each line ends with the local moment (μB).
Fractional positions:
Pu  0.750  0.491  0.689  5.03
Pu  0.250  0.509  0.311  5.03
Pu  0.750  0.991  0.311  5.03
Pu  0.250  0.009  0.689  5.03
Mn  0.500  0.250  0.086  2.41
Mn  0.000  0.750  0.914  2.41
Mn  0.500  0.750  0.914  2.41
Mn  0.000  0.250  0.086  2.41
As  0.000  0.250  0.498  -0.07
As  0.500  0.750  0.502  -0.07
As  0.000  0.750  0.502  -0.07
As  0.500  0.250  0.498  -0.07
As  0.250  0.107  0.929  -0.11
As  0.750  0.893  0.071  -0.11
As  0.250  0.607  0.071  -0.11
As  0.750  0.393  0.929  -0.11
As  0.250  0.516  0.776  -0.11
As  0.750  0.484  0.224  -0.11
As  0.250  0.016  0.224  -0.11
As  0.750  0.984  0.776  -0.11

energy of formation	-559	meV/atom
crystal system	orthorhombic
size of the total moment	29.23	μB per cell
symmetry	Pbcm
DOS at the Fermi energy	34.03	states/eV per cell
raw total energy	-8.049	eV/atom